1.
This record from Alexandria describes a relaxed structure of Cs2Sn2Pd. The functional is PBE.

Lattice parameters (Å, degrees): 4.6496 4.6496 12.3637 79.16 79.16 60.00
Atoms (fractional coordinates):
1 Sn 0.6900 0.6900 0.9301
2 Sn 0.3100 0.3100 0.0699
3 Pd 0.0000 0.0000 0.0000
4 Cs 0.5715 0.5715 0.2855
5 Cs 0.4285 0.4285 0.7145

Crystal system: trigonal
Symmetry: No. 166
Calculated formation energy, meV/atom: -327.7



2.
This record from Alexandria describes a relaxed structure of LiGaAg2As. The functional is PBE.

Lattice parameters (Å, degrees): 4.8286 4.7423 4.8286 90.00 90.00 90.00
Atoms (fractional coordinates):
1 Ga 0.0000 0.0000 0.0000
2 Li 0.0000 0.5000 0.0000
3 As 0.5000 0.5000 0.5000
4 Ag 0.0000 0.0000 0.5000
5 Ag 0.5000 0.0000 0.0000

Crystal system: tetragonal
Symmetry: No. 123
Calculated formation energy, meV/atom: 445.7



3.
This record from Alexandria describes a relaxed structure of Na2ZrInF. The functional is PBE.

Lattice parameters (Å, degrees): 4.4793 6.6833 4.4793 90.00 90.00 90.00
Each line ends with the local moment (μB).
Atoms (fractional coordinates):
1 Na 0.0000 0.0000 0.5000  0.01
2 Na 0.5000 0.0000 0.0000  0.01
3 Zr 0.5000 0.5000 0.5000  0.79
4 F 0.0000 0.0000 0.0000  0.03
5 In 0.0000 0.5000 0.0000  0.04

Crystal system: tetragonal
Symmetry: No. 123
Raw total energy, eV/cell: -18.692



4.
This record from Alexandria describes a relaxed structure of Zn2PSe. The functional is PBE.

Lattice parameters (Å, degrees): 2.7690 2.7690 9.5886 90.00 90.00 90.00
Atoms (fractional coordinates):
1 Zn 0.5000 0.5000 0.2405
2 Zn 0.0000 0.0000 0.0375
3 Se 0.5000 0.5000 0.7910
4 P 0.0000 0.0000 0.4310

Crystal system: tetragonal
Symmetry: No. 99
Raw total energy, eV/cell: -10.245